Entry 1:
! Ba3VO (PBE+U, relaxed); values from VASP
&SYSTEM
  ibrav = 0, nat = 5, ntyp = 3
/
ATOMIC_SPECIES
Ba 137.33 Ba.upf
O 16.00 O.upf
V 50.94 V.upf
CELL_PARAMETERS angstrom
-4.643 2.919 1.122
0.354 -1.506 5.380
3.107 4.533 1.064
ATOMIC_POSITIONS angstrom
Ba 0.177 -0.753 2.690
Ba 1.554 2.266 0.532
Ba -2.321 1.459 0.561
O 0.000 0.000 0.000
V -0.591 2.973 3.783
! - energy above the most stable polymorph in this dataset (eV/atom) = 0.000
! - SG = Pm-3m (221)

Entry 2:
! NiSeO2 (PBE+U, relaxed); values from VASP
&SYSTEM
  ibrav = 0, nat = 4, ntyp = 3
/
ATOMIC_SPECIES
Ni 58.69 Ni.upf
O 16.00 O.upf
Se 78.96 Se.upf
CELL_PARAMETERS angstrom
1.907 0.000 5.772
-0.954 1.652 5.772
-0.954 -1.652 5.772
ATOMIC_POSITIONS angstrom
Ni 0.000 0.000 0.000
O 0.000 0.000 15.422
O 0.000 0.000 1.895
Se 0.000 0.000 8.658
! - total DFT energy (no corrections) (eV/atom) = -3.93
! - SG = R-3m (166)

| no. | M_tot (μB per formula unit) | density of states at the Fermi level (states/eV per cell) |
| --- | --- | --- |
| 1 | 4.56 | 4.8 |
| 2 | 0.87 | 1.2 |